1.
# HfPIr2 GGA-PBE relaxed
# - crystal system = monoclinic
# - energy of formation (kJ/mol of formula units) = -293
data_HfPIr2
_chemical_formula_sum 'Hf4 P4 Ir8'
_cell_length_a 9.7597
_cell_length_b 3.1623
_cell_length_c 9.2884
_cell_angle_alpha 90.00
_cell_angle_beta 115.52
_cell_angle_gamma 90.00
_symmetry_space_group_name_H-M 'C 1 2/m 1'
_symmetry_Int_Tables_number 12
loop_
_symmetry_equiv_pos_as_xyz
'x,y,z'
'-x,-y,-z'
'-x,y,-z'
'x,-y,z'
'x+1/2,y+1/2,z'
'-x+1/2,-y+1/2,-z'
'-x+1/2,y+1/2,-z'
'x+1/2,-y+1/2,z'
loop_
_atom_site_label
_atom_site_fract_x
_atom_site_fract_y
_atom_site_fract_z
Hf1 0.1689 0.0000 0.2125
P1 0.0720 0.0000 0.7276
Ir1 0.1050 0.5000 0.9245
Ir2 0.1482 0.0000 0.5238

2.
# TbMoRu2 GGA-PBE relaxed
# - crystal system = cubic
# - energy above the most stable polymorph in this dataset (meV per atom) = 95
# - energy of formation (kJ/mol of formula units) = 21
data_TbMoRu2
_chemical_formula_sum 'Tb4 Mo4 Ru8'
_cell_length_a 6.4888
_cell_length_b 6.4888
_cell_length_c 6.4888
_cell_angle_alpha 90.00
_cell_angle_beta 90.00
_cell_angle_gamma 90.00
_symmetry_space_group_name_H-M 'F m -3 m'
_symmetry_Int_Tables_number 225
_symmetry_space_group_name_Hall '-F 4 2 3'
loop_
_atom_site_label
_atom_site_fract_x
_atom_site_fract_y
_atom_site_fract_z
Tb1 0.0000 0.0000 0.0000
Mo1 0.0000 0.0000 0.5000
Ru1 0.2500 0.2500 0.2500

3.
# HfCSCl2 GGA-PBE relaxed
# - crystal system = tetragonal
# - energy above the most stable polymorph in this dataset (meV per atom) = 429
# - E_form (uncorrected) (eV per formula unit) = 4.0
data_HfCSCl2
_chemical_formula_sum 'Hf1 C1 S1 Cl2'
_cell_length_a 4.1757
_cell_length_b 4.1757
_cell_length_c 4.4081
_cell_angle_alpha 90.00
_cell_angle_beta 90.00
_cell_angle_gamma 90.00
_symmetry_space_group_name_H-M 'P 4/m m m'
_symmetry_Int_Tables_number 123
_symmetry_space_group_name_Hall '-P 4 2'
loop_
_atom_site_label
_atom_site_fract_x
_atom_site_fract_y
_atom_site_fract_z
Hf1 0.0000 0.0000 0.0000
C1 0.5000 0.5000 0.5000
S1 0.5000 0.5000 0.0000
Cl1 0.0000 0.5000 0.5000

Calculated total energy list, top to bottom, in eV per cell: -144.5, -135.2, -23.0
Theoretical density list, top to bottom, in g/cm3: 15.2, 11.1, 6.3
Magnetization list, top to bottom, in μB per formula unit: 0.00, 0.00, 0.58